Entry from OQMD: NdSiAs3Pd6 after structural relaxation (GGA-PBE).

Summary:
The calculation puts the total energy at -5.680 eV per atom. Its space group is P-6m2.

abc: 7.348 7.348 3.970
angles: 90.00 90.00 120.00
Fractional coordinates of all 11 atoms:
Nd1 0.000 0.000 0.000
Si1 0.333 0.667 0.000
As1 0.377 0.188 0.500
As2 0.812 0.188 0.500
As3 0.812 0.623 0.500
Pd1 0.203 0.407 0.500
Pd2 0.203 0.797 0.500
Pd3 0.532 0.063 0.000
Pd4 0.532 0.468 0.000
Pd5 0.593 0.797 0.500
Pd6 0.937 0.468 0.000